A plane-wave DFT calculation with GGA-PBE was carried out for a geometry-optimized AcPmPr2Sm5 structure.

abc: 8.960 8.960 10.224
angles: 115.99 115.99 90.00
Positions (direct):
Ac1 0.250 0.250 0.500
Ac2 0.750 0.750 0.500
Pm1 0.250 0.750 0.500
Pm2 0.750 0.250 0.500
Pr1 0.119 0.381 0.000
Pr2 0.619 0.119 0.000
Pr3 0.381 0.881 0.000
Pr4 0.881 0.619 0.000
Sm1 0.929 0.429 0.268
Sm2 0.661 0.161 0.732
Sm3 0.071 0.571 0.732
Sm4 0.161 0.071 0.732
Sm5 0.571 0.661 0.732
Sm6 0.839 0.929 0.268
Sm7 0.429 0.339 0.268
Sm8 0.339 0.839 0.268
Sm9 0.500 0.500 0.000
Sm10 0.000 0.000 0.000

Calculated values
**Electronic total energy**: -79.75 eV/cell



A plane-wave DFT calculation with GGA-PBE was carried out for a geometry-optimized CaMg structure.

abc: 5.914 5.914 5.914
angles: 36.53 36.53 36.53
Positions (direct):
Ca1 0.000 0.000 0.000
Mg1 0.500 0.500 0.500

Calculated values
**Electronic total energy**: -3.50 eV/cell



A plane-wave DFT calculation with GGA-PBE was carried out for a geometry-optimized SrPr12Nd6 structure.

abc: 9.097 9.097 9.097
angles: 99.09 99.09 99.09
Positions (direct):
Sr1 0.000 0.000 0.000
Pr1 0.762 0.238 0.500
Pr2 0.358 0.085 0.358
Pr3 0.358 0.358 0.085
Pr4 0.915 0.642 0.642
Pr5 0.642 0.642 0.915
Pr6 0.642 0.915 0.642
Pr7 0.500 0.762 0.238
Pr8 0.238 0.500 0.762
Pr9 0.238 0.762 0.500
Pr10 0.500 0.238 0.762
Pr11 0.762 0.500 0.238
Pr12 0.085 0.358 0.358
Nd1 0.901 0.347 0.901
Nd2 0.901 0.901 0.347
Nd3 0.347 0.901 0.901
Nd4 0.099 0.099 0.653
Nd5 0.099 0.653 0.099
Nd6 0.653 0.099 0.099

Calculated values
**Electronic total energy**: -84.16 eV/cell



A plane-wave DFT calculation with GGA-PBE was carried out for a geometry-optimized Na12Sr16In structure.

abc: 11.944 11.944 11.972
angles: 109.18 109.18 108.98
Positions (direct):
Na1 0.825 0.825 0.194
Na2 0.643 0.643 0.827
Na3 0.340 0.161 0.983
Na4 0.822 0.643 0.635
Na5 0.189 0.996 0.350
Na6 0.367 0.992 0.178
Na7 0.174 0.802 0.821
Na8 0.802 0.174 0.821
Na9 0.992 0.367 0.178
Na10 0.996 0.189 0.350
Na11 0.643 0.822 0.635
Na12 0.161 0.340 0.983
Sr1 0.398 0.398 0.344
Sr2 0.999 0.999 0.004
Sr3 0.992 0.992 0.638
Sr4 0.304 0.304 0.679
Sr5 0.646 0.420 0.021
Sr6 0.609 0.292 0.612
Sr7 0.992 0.681 0.392
Sr8 0.992 0.628 0.002
Sr9 0.711 0.331 0.321
Sr10 0.388 0.999 0.677
Sr11 0.999 0.388 0.677
Sr12 0.331 0.711 0.321
Sr13 0.628 0.992 0.002
Sr14 0.681 0.992 0.392
Sr15 0.292 0.609 0.612
Sr16 0.420 0.646 0.021
In1 0.660 0.660 0.331

Calculated values
**Electronic total energy**: -45.26 eV/cell



| no. | energy of formation (kJ/mol of atoms) |
| --- | --- |
| 1 | 23 |
| 2 | 4 |
| 3 | 18 |
| 4 | 1 |